Record 1
The following is a PBE-GGA calculation of a geometry-optimized Zr2AlVN structure, from the Alexandria database.

Values from the calculation:
formation energy (no corrections)	-0.806	eV/atom
V	80	Å³ per cell

abc: 4.566 4.566 3.843
angles: 90.00 90.00 90.00
Positions (direct):
Zr1 0.000 0.500 0.000
Zr2 0.500 0.000 0.000
Al1 0.000 0.000 0.500
V1 0.500 0.500 0.500
N1 0.500 0.500 0.000



Record 2
The following is a PBE-GGA calculation of a geometry-optimized AlWN structure, from the Alexandria database.

Values from the calculation:
formation energy (no corrections)	-0.470	eV/atom
V	139	Å³ per cell

abc: 4.944 2.844 10.021
angles: 90.00 99.50 90.00
Positions (direct):
Al1 0.000 0.000 0.000
Al2 0.167 0.000 0.499
Al3 0.500 0.500 0.000
Al4 0.667 0.500 0.499
W1 0.242 0.500 0.226
W2 0.409 0.500 0.725
W3 0.742 0.000 0.226
W4 0.909 0.000 0.725
N1 0.290 0.000 0.868
N2 0.457 0.000 0.368
N3 0.790 0.500 0.868
N4 0.957 0.500 0.368



Question: What is the formation energy (no corrections) in the first record?
Answer: -0.806 eV/atom